A geometry-optimized Dy7Ho2Mg structure. Source: Alexandria via LeMat-Bulk, functional PBE-GGA.

Lattice parameters (Å, degrees): 5.3750 9.2007 9.2007 123.85 90.00 90.00
Closest atoms and distances in Å follow each position.
Positions (direct):
Ho1 0.5000 0.7059 0.2941  7 Dy 3.05-3.39
Dy1 0.5000 0.5000 0.5000  4 Dy 3.30, 2 Ho 3.34
Dy2 0.5000 0.9305 0.7140  2 Dy 3.08-3.30, 2 Ho 3.21-3.39
Dy3 0.5000 0.0695 0.2860  2 Dy 3.08-3.30, 2 Ho 3.21-3.39
Mg1 0.0000 0.0000 0.0000  10 Dy 3.33-3.56
Dy4 0.5000 0.7140 0.9305  2 Dy 3.08-3.30, 2 Ho 3.21-3.39
Ho2 0.5000 0.2941 0.7059  7 Dy 3.05-3.39
Dy5 0.5000 0.2860 0.0695  2 Dy 3.08-3.30, 2 Ho 3.21-3.39
Dy6 0.0000 0.2050 0.7950  2 Ho 3.05, 1 Mg 3.33
Dy7 0.0000 0.7950 0.2050  2 Ho 3.05, 1 Mg 3.33

Calculated values
energy of formation	65	kJ per mole of atoms
N(E_F)	11.88	states/eV per cell